(1)
This record from Alexandria via LeMat-Bulk describes a geometry-optimized Y2TcSb2 structure. The functional is PBE-GGA.

Cell lengths 7.1417, 7.1417, 4.6552 Å; angles 90.00, 90.00, 90.00 degrees
Space group P4/mbm (No. 127)
Asymmetric unit:
Y 0.1702 0.3298 0.0000 (multiplicity 4)
Tc 0.0000 0.0000 0.5000 (multiplicity 2)
Sb 0.1460 0.6460 0.5000 (multiplicity 4)

Output
spin magnetization: 0.503 μB/f.u.
raw formation energy: -2.76 eV/f.u.
V: 237.44 Å³/cell

(2)
This record from Alexandria via LeMat-Bulk describes a geometry-optimized YTc3Sb structure. The functional is PBE-GGA.

Cell lengths 4.8837, 4.8837, 4.8837 Å; angles 90.00, 90.00, 90.00 degrees
Space group Pm-3m (No. 221)
Asymmetric unit:
Y 0.0000 0.0000 0.0000 (multiplicity 1)
Tc 0.0000 0.0000 0.5000 (multiplicity 3)
Sb 0.5000 0.5000 0.5000 (multiplicity 1)

Output
spin magnetization: 3.898 μB/f.u.
raw formation energy: 10.69 eV/f.u.
V: 116.48 Å³/cell

(3)
This record from Alexandria via LeMat-Bulk describes a geometry-optimized YTcSb2 structure. The functional is PBE-GGA.

Cell lengths 5.1666, 5.1666, 17.0280 Å; angles 90.00, 90.00, 90.00 degrees
Space group I-42d (No. 122)
Asymmetric unit:
Y 0.0000 0.0000 0.0000 (multiplicity 4)
Tc 0.0000 0.0000 0.5000 (multiplicity 4)
Sb 0.1590 0.2500 0.6250 (multiplicity 8)

Output
spin magnetization: 0.000 μB/f.u.
raw formation energy: 0.69 eV/f.u.
V: 454.53 Å³/cell

(4)
This record from Alexandria via LeMat-Bulk describes a geometry-optimized YTcSb2 structure. The functional is PBE-GGA.

Cell lengths 3.4171, 3.4171, 27.2100 Å; angles 90.00, 90.00, 120.00 degrees
Space group R-3m (No. 166, hexagonal axes)
Asymmetric unit:
Y 0.0000 0.0000 0.0000 (multiplicity 3)
Tc 0.0000 0.0000 0.5000 (multiplicity 3)
Sb 0.0000 0.0000 0.2364 (multiplicity 6)

Output
spin magnetization: 0.003 μB/f.u.
raw formation energy: -0.28 eV/f.u.
V: 275.16 Å³/cell